The following is a DFT calculation (PBE) of a relaxed DySi4Tc4 crystal.

It has space group P4_2/n (No. 86, origin choice 2), with a = 8.048 Å, b = 8.048 Å, c = 4.704 Å, α = 90.00°, β = 90.00° and γ = 90.00°. The distinct sites, in fractional coordinates, are Dy at (0.250, 0.250, 0.250), Si at (0.062, 0.911, 0.164) and Tc at (0.122, 0.873, 0.657).

The formation energy from raw total energies comes out at -0.49 eV/atom. The total energy comes out at -144.3 eV per cell. The calculation puts the volume at 152.3 Å³/f.u. The value obtained for the density of states at the Fermi level is 0.9419 states/eV/atom.